# Tb2Nd6Ag

A relaxed Tb2Nd6Ag crystal (PBE, the Alexandria database).

Computed properties:
DOS(E_F)   13.59 states/eV per cell
Formation energy from the elements   102 meV per atom
Calculated total energy   -4.42 eV per atom

Lattice parameters (Å, degrees): 10.0115 10.0115 3.5731 90.34 90.34 57.17
Fractional coordinates of all 9 atoms:
Tb  0.1777  0.1777  0.4945
Tb  0.8223  0.8223  0.5055
Nd  0.1639  0.5083  0.0010
Nd  0.2113  0.7887  0.5000
Nd  0.4917  0.8361  0.9990
Nd  0.5083  0.1639  0.0010
Nd  0.7887  0.2113  0.5000
Nd  0.8361  0.4917  0.9990
Ag  0.5000  0.5000  0.0000



# TbNd2Ag

A relaxed TbNd2Ag crystal (PBE, the Alexandria database).

Computed properties:
DOS(E_F)   3.84 states/eV per cell
Formation energy from the elements   -8 meV per atom
Calculated total energy   -4.26 eV per atom

Lattice parameters (Å, degrees): 10.9203 10.9203 10.9203 19.20 19.20 19.20
Fractional coordinates of all 4 atoms:
Tb  0.0000  0.0000  0.0000
Nd  0.2421  0.2421  0.2421
Nd  0.7579  0.7579  0.7579
Ag  0.5000  0.5000  0.5000



# TbNd2Ag

A relaxed TbNd2Ag crystal (PBE, the Alexandria database).

Computed properties:
DOS(E_F)   4.80 states/eV per cell
Formation energy from the elements   6 meV per atom
Calculated total energy   -4.25 eV per atom

Lattice parameters (Å, degrees): 3.6652 3.6652 10.8471 99.66 99.66 60.09
Fractional coordinates of all 4 atoms:
Tb  0.0000  0.0000  0.0000
Nd  0.5758  0.5758  0.7275
Nd  0.7580  0.7580  0.2750
Ag  0.1677  0.1677  0.5031



# TbNdAg2

A relaxed TbNdAg2 crystal (PBE, the Alexandria database).

Computed properties:
DOS(E_F)   2.33 states/eV per cell
Formation energy from the elements   -290 meV per atom
Calculated total energy   -4.06 eV per atom

Lattice parameters (Å, degrees): 3.6758 3.6758 7.5114 90.00 90.00 90.00
Fractional coordinates of all 4 atoms:
Tb  0.0000  0.0000  0.0000
Nd  0.0000  0.0000  0.5000
Ag  0.5000  0.5000  0.2327
Ag  0.5000  0.5000  0.7673



# Tb4NdAg

A relaxed Tb4NdAg crystal (PBE, the Alexandria database).

Computed properties:
DOS(E_F)   7.88 states/eV per cell
Formation energy from the elements   -77 meV per atom
Calculated total energy   -4.43 eV per atom

Lattice parameters (Å, degrees): 3.5975 3.5975 13.9666 90.00 90.00 90.00
Fractional coordinates of all 6 atoms:
Tb  0.0000  0.0000  0.1357
Tb  0.0000  0.0000  0.8643
Tb  0.5000  0.5000  0.3170
Tb  0.5000  0.5000  0.6830
Nd  0.0000  0.0000  0.5000
Ag  0.5000  0.5000  0.0000



# Tb3Nd2Ag2

A relaxed Tb3Nd2Ag2 crystal (PBE, the Alexandria database).

Computed properties:
DOS(E_F)   6.25 states/eV per cell
Formation energy from the elements   -98 meV per atom
Calculated total energy   -4.26 eV per atom

Lattice parameters (Å, degrees): 5.4375 5.4375 8.4579 108.75 108.75 60.03
Fractional coordinates of all 7 atoms:
Tb  0.0000  0.0000  0.0000
Tb  0.1621  0.1621  0.4862
Tb  0.8379  0.8379  0.5138
Nd  0.4246  0.4246  0.2730
Nd  0.5754  0.5754  0.7270
Ag  0.2871  0.2871  0.8632
Ag  0.7129  0.7129  0.1368